Entry from Alexandria: a relaxed Re3Os4Ru2 crystal (PBE).

Summary:
* energy relative to the elements: 0.268 eV per atom
* N(E_F): 0.846 states/eV per atom
* E_tot: -98.4 eV per formula unit
* SG: C2/c (15)
* spin magnetization: 0.0 μB/f.u.

```
18
Lattice="4.684 0.120 0.463 0.640 7.313 2.672 0.328 -0.315 7.799" Properties=species:S:1:pos:R:3 pbc="T T T"
Re 1.123 6.604 8.218
Re 2.251 2.004 1.443
Re 4.529 0.513 2.716
Re 3.402 5.113 9.492
Re 1.612 2.463 6.068
Re 4.041 4.655 4.867
Os 2.862 0.405 6.839
Os 4.903 1.166 8.096
Os 2.791 6.713 4.096
Os 0.749 5.952 2.838
Os 3.845 6.233 7.089
Os 4.241 3.182 2.573
Os 1.808 0.884 3.845
Os 1.411 3.936 8.362
Ru 1.502 5.052 5.989
Ru 1.870 3.503 3.708
Ru 4.151 2.066 4.946
Ru 3.783 3.614 7.227
```